Density functional theory data (GGA-PBE) for a relaxed Zn3CuRu crystal.

## Properties
- formation enthalpy at 0 K (eV/atom) = 0.76
- polymorph energy (0 for the lowest one) (meV/atom) = 800

Cell lengths 4.3986, 4.3986, 4.3986 Å; angles 90.00, 90.00, 90.00 degrees
With the nearest neighbours (Å) after each atom.
Element x y z (fractional)
Zn  0.0000  0.5000  0.0000  2 Cu 2.20
Zn  0.5000  0.0000  0.0000  2 Cu 2.20
Ru  0.5000  0.5000  0.5000  12 Zn 3.11
Cu  0.0000  0.0000  0.0000  6 Zn 2.20
Zn  0.0000  0.0000  0.5000  2 Cu 2.20